VASP calculation (GGA-PBEsol) on a relaxed ScSn3Ge crystal.

Results
The calculation puts the formation energy at 0.573 eV per atom. As for the crystal system: cubic. As for the final energy: -0.1577 hartree per atom. The space group is Pm-3m (221). The calculation puts the mass density at 5.1 g/cm3. Its volume is 154.6 Å³/cell. The total magnetic moment comes out at 0.0 μB/f.u.

Lattice parameters (Å, degrees): 5.3671 5.3671 5.3671 90.00 90.00 90.00
Last column: nearest neighbours and their distance in Å.
Fractional coordinates of all 5 atoms:
Sc: 0.0000 0.0000 0.0000  6 Sn 2.68
Sn: 0.0000 0.0000 0.5000  2 Sc 2.68
Sn: 0.0000 0.5000 0.0000  2 Sc 2.68
Sn: 0.5000 0.0000 0.0000  2 Sc 2.68
Ge: 0.5000 0.5000 0.5000  12 Sn 3.80

***

VASP calculation (GGA-PBEsol) on a relaxed ScTc2SnGe crystal.

Results
The calculation puts the formation energy at 1.639 eV per atom. As for the crystal system: tetragonal. As for the final energy: -0.2215 hartree per atom. The space group is P4/mmm (123). The calculation puts the mass density at 6.7 g/cm3. Its volume is 107.7 Å³/cell. The total magnetic moment comes out at 1.7 μB/f.u.

Lattice parameters (Å, degrees): 4.5514 4.5514 5.1984 90.00 90.00 90.00
Last column: nearest neighbours and their distance in Å.
Fractional coordinates of all 5 atoms:
Sc: 0.0000 0.0000 0.0000  4 Tc 2.28
Tc: 0.0000 0.5000 0.0000  2 Sc 2.28
Tc: 0.5000 0.0000 0.0000  2 Sc 2.28
Sn: 0.0000 0.0000 0.5000  2 Sc 2.60
Ge: 0.5000 0.5000 0.5000  4 Sn 3.22, 8 Tc 3.45

***

Number 1 is which compound? ScSn3Ge

***

Which formula does entry 1 have? ScSn3Ge